(1)
## Tl2In7SnHg2 (PBE)

Data for Tl2In7SnHg2 after structural relaxation.

**Energy of formation from the pure elements**: 32.9 meV/atom
**Magnetization**: 0.000 μB per atom
**SG**: No. 44
**DFT total energy**: -2.343 eV per atom

Lattice parameters (Å, degrees): 16.907 16.907 16.907 168.98 24.20 158.53
Element x y z (fractional)
Tl  0.165  0.000  0.165
Tl  0.835  0.000  0.835
In  0.006  0.006  0.000
In  0.224  0.305  0.919
In  0.385  0.305  0.081
In  0.474  0.727  0.747
In  0.718  0.300  0.418
In  0.883  0.300  0.582
In  0.980  0.727  0.253
Sn  0.511  0.011  0.500
Hg  0.336  0.504  0.832
Hg  0.671  0.504  0.168



(2)
## TlIn4Sn2Hg (PBE)

Data for TlIn4Sn2Hg after structural relaxation.

**Energy of formation from the pure elements**: 31.4 meV/atom
**Magnetization**: 0.000 μB per atom
**SG**: No. 10
**DFT total energy**: -2.672 eV per atom

Lattice parameters (Å, degrees): 5.307 4.413 9.371 90.00 90.06 90.00
Element x y z (fractional)
Tl  0.000  0.000  0.000
In  0.001  0.500  0.258
In  0.499  0.000  0.742
In  0.501  0.000  0.258
In  0.999  0.500  0.742
Sn  0.000  0.000  0.500
Sn  0.500  0.500  0.000
Hg  0.500  0.500  0.500



(3)
## TlIn2SnHg2 (PBE)

Data for TlIn2SnHg2 after structural relaxation.

**Energy of formation from the pure elements**: 28.3 meV/atom
**Magnetization**: 0.000 μB per atom
**SG**: No. 26
**DFT total energy**: -2.047 eV per atom

Lattice parameters (Å, degrees): 4.793 8.593 8.271 90.00 90.00 90.00
Element x y z (fractional)
Tl  0.000  0.144  0.000
Tl  0.000  0.856  0.500
In  0.000  0.489  0.776
In  0.000  0.511  0.276
In  0.500  0.125  0.289
In  0.500  0.875  0.789
Sn  0.500  0.229  0.701
Sn  0.500  0.771  0.201
Hg  0.000  0.223  0.482
Hg  0.000  0.777  0.982
Hg  0.500  0.421  0.045
Hg  0.500  0.579  0.545



(4)
## TlIn2Sn2Hg2 (PBE)

Data for TlIn2Sn2Hg2 after structural relaxation.

**Energy of formation from the pure elements**: 31.7 meV/atom
**Magnetization**: 0.000 μB per atom
**SG**: No. 166
**DFT total energy**: -2.319 eV per atom

Lattice parameters (Å, degrees): 8.600 8.600 8.600 35.86 35.86 35.86
Element x y z (fractional)
Tl  0.000  0.000  0.000
In  0.273  0.273  0.273
In  0.727  0.727  0.727
Sn  0.140  0.140  0.140
Sn  0.860  0.860  0.860
Hg  0.428  0.428  0.428
Hg  0.572  0.572  0.572



(5)
## Tl2In3SnHg6 (PBE)

Data for Tl2In3SnHg6 after structural relaxation.

**Energy of formation from the pure elements**: 143.2 meV/atom
**Magnetization**: 0.000 μB per atom
**SG**: No. 123
**DFT total energy**: -1.420 eV per atom

Lattice parameters (Å, degrees): 4.422 4.422 20.018 90.00 90.00 90.00
Element x y z (fractional)
Tl  0.000  0.000  0.215
Tl  0.000  0.000  0.785
In  0.500  0.500  0.000
In  0.500  0.500  0.288
In  0.500  0.500  0.712
Sn  0.000  0.000  0.500
Hg  0.000  0.500  0.394
Hg  0.000  0.500  0.606
Hg  0.500  0.000  0.394
Hg  0.500  0.000  0.606
Hg  0.500  0.500  0.141
Hg  0.500  0.500  0.859



(6)
## Tl2InSnHg4 (PBE)

Data for Tl2InSnHg4 after structural relaxation.

**Energy of formation from the pure elements**: 31.0 meV/atom
**Magnetization**: 0.000 μB per atom
**SG**: No. 31
**DFT total energy**: -1.554 eV per atom

Lattice parameters (Å, degrees): 6.271 11.844 6.242 90.00 90.00 90.00
Element x y z (fractional)
Tl  0.249  0.120  0.000
Tl  0.251  0.880  0.500
Tl  0.749  0.880  0.500
Tl  0.751  0.120  0.000
In  0.000  0.626  0.271
In  0.500  0.374  0.771
Sn  0.000  0.368  0.782
Sn  0.500  0.632  0.282
Hg  0.000  0.369  0.276
Hg  0.000  0.625  0.766
Hg  0.250  0.150  0.500
Hg  0.250  0.850  0.000
Hg  0.500  0.375  0.266
Hg  0.500  0.631  0.776
Hg  0.750  0.150  0.500
Hg  0.750  0.850  0.000



(7)
## TlIn2SnHg5 (PBE)

Data for TlIn2SnHg5 after structural relaxation.

**Energy of formation from the pure elements**: 30.4 meV/atom
**Magnetization**: 0.000 μB per atom
**SG**: No. 36
**DFT total energy**: -1.453 eV per atom

Lattice parameters (Å, degrees): 8.704 8.704 17.248 90.00 90.00 157.87
Element x y z (fractional)
Tl  0.043  0.957  0.500
Tl  0.957  0.043  0.000
In  0.360  0.640  0.513
In  0.443  0.557  0.822
In  0.557  0.443  0.322
In  0.640  0.360  0.013
Sn  0.295  0.705  0.073
Sn  0.705  0.295  0.573
Hg  0.097  0.903  0.166
Hg  0.108  0.892  0.854
Hg  0.212  0.788  0.394
Hg  0.250  0.750  0.734
Hg  0.430  0.570  0.189
Hg  0.570  0.430  0.689
Hg  0.750  0.250  0.234
Hg  0.788  0.212  0.894
Hg  0.892  0.108  0.354
Hg  0.903  0.097  0.666



(8)
## Tl2In2SnHg4 (PBE)

Data for Tl2In2SnHg4 after structural relaxation.

**Energy of formation from the pure elements**: 26.2 meV/atom
**Magnetization**: 0.000 μB per atom
**SG**: No. 2
**DFT total energy**: -1.687 eV per atom

Lattice parameters (Å, degrees): 6.242 6.391 7.718 87.94 66.92 65.98
Element x y z (fractional)
Tl  0.020  0.244  0.134
Tl  0.980  0.756  0.866
In  0.408  0.719  0.402
In  0.592  0.281  0.598
Sn  0.500  0.500  0.000
Hg  0.059  0.269  0.642
Hg  0.485  0.886  0.767
Hg  0.515  0.114  0.233
Hg  0.941  0.731  0.358



The highest energy of formation from the pure elements belongs to which entry? Tl2In3SnHg6